VASP calculation (PBE-GGA) on a geometry-optimized ZrMo2As structure.

a = 3.8152 Å, b = 3.8152 Å, c = 4.7471 Å
α = 90.00°, β = 90.00°, γ = 90.00°
Last column: nearest neighbours and their distance in Å.
Element x y z (fractional)
1 Zr 0.0000 0.0000 0.0000  4 As 2.70
2 Mo 0.0000 0.5000 0.5000  4 Mo 2.70
3 Mo 0.5000 0.0000 0.5000  4 Mo 2.70
4 As 0.5000 0.5000 0.0000  4 Zr 2.70

energy of formation from the pure elements	-0.10	eV per atom